RbCu2PSe4: relaxed, GGA-PBE.

Output
Crystal system ... orthorhombic
Formation energy from raw total energies ... -0.357 eV/atom
Electronic total energy ... -3.9206 eV/atom

a b c (Å): 6.3201 8.1789 8.8823
angles (deg): 90.00 90.00 90.00
Space group I222 (No. 23)
Unique sites:
Rb 0.0000 0.0000 0.0000 (multiplicity 2)
Cu 0.0000 0.5000 0.1474 (multiplicity 4)
P 0.0000 0.0000 0.5000 (multiplicity 2)
Se 0.2025 0.1622 0.3526 (multiplicity 8)